(1)
The following is a GGA-PBE calculation of a relaxed structure of Ca2MgNi, from the Alexandria database.

Calculated values
DOS(E_F), states/eV per atom: 0.61
VASP energy, eV per cell: -22.842
Energy of formation from the pure elements, meV per atom: -10

The structure in CIF format:
```
data_Ca2MgNi
_chemical_formula_sum 'Ca4 Mg2 Ni2'
_space_group_name_H-M_alt 'A m m 2'
_space_group_IT_number 38
_cell_length_a 4.290
_cell_length_b 4.406
_cell_length_c 11.398
_cell_angle_alpha 90.00
_cell_angle_beta 90.00
_cell_angle_gamma 90.00
loop_
_space_group_symop_operation_xyz
'x,y,z'
'-x,-y,z'
'-x,y,z'
'x,-y,z'
'x,y+1/2,z+1/2'
'-x,-y+1/2,z+1/2'
'-x,y+1/2,z+1/2'
'x,-y+1/2,z+1/2'
loop_
_atom_site_label
_atom_site_type_symbol
_atom_site_fract_x
_atom_site_fract_y
_atom_site_fract_z
_atom_site_occupancy
Ca1 Ca 0.000 0.000 0.000 1
Ca2 Ca 0.500 0.000 0.292 1
Mg1 Mg 0.000 0.000 0.699 1
Ni1 Ni 0.500 0.000 0.576 1
```

(2)
The following is a GGA-PBE calculation of a relaxed structure of FeNi12Sb3, from the Alexandria database.

Calculated values
DOS(E_F), states/eV per atom: 0.67
VASP energy, eV per cell: -92.137
Energy relative to the elements, uncorrected, eV per atom: -0.121

The structure in CIF format:
```
data_FeNi12Sb3
_chemical_formula_sum 'Fe1 Ni12 Sb3'
_space_group_name_H-M_alt 'P 4/m m m'
_space_group_IT_number 123
_space_group_name_Hall '-P 4 2'
_cell_length_a 3.705
_cell_length_b 3.705
_cell_length_c 14.605
_cell_angle_alpha 90.00
_cell_angle_beta 90.00
_cell_angle_gamma 90.00
loop_
_atom_site_label
_atom_site_type_symbol
_atom_site_fract_x
_atom_site_fract_y
_atom_site_fract_z
_atom_site_occupancy
Fe1 Fe 0.000 0.000 0.000 1
Ni1 Ni 0.000 0.500 0.114 1
Ni2 Ni 0.000 0.500 0.372 1
Ni3 Ni 0.500 0.500 0.000 1
Ni4 Ni 0.500 0.500 0.246 1
Ni5 Ni 0.500 0.500 0.500 1
Sb1 Sb 0.000 0.000 0.241 1
Sb2 Sb 0.000 0.000 0.500 1
```

(3)
The following is a GGA-PBE calculation of a relaxed structure of SiTc2Pb, from the Alexandria database.

Calculated values
DOS(E_F), states/eV per atom: 0.95
VASP energy, eV per cell: -28.370
E above lowest polymorph, eV/f.u.: 0.80
Energy relative to the elements, uncorrected, eV per atom: 0.373

The structure in CIF format:
```
data_SiTc2Pb
_chemical_formula_sum 'Si1 Tc2 Pb1'
_space_group_name_H-M_alt 'P 1 m 1'
_space_group_IT_number 6
_cell_length_a 3.082
_cell_length_b 4.471
_cell_length_c 5.258
_cell_angle_alpha 90.00
_cell_angle_beta 107.03
_cell_angle_gamma 90.00
loop_
_space_group_symop_operation_xyz
'x,y,z'
'x,-y,z'
loop_
_atom_site_label
_atom_site_type_symbol
_atom_site_fract_x
_atom_site_fract_y
_atom_site_fract_z
_atom_site_occupancy
Si1 Si 0.000 0.000 0.000 1
Tc1 Tc 0.101 0.500 0.195 1
Tc2 Tc 0.696 0.000 0.390 1
Pb1 Pb 0.362 0.500 0.721 1
```

(4)
The following is a GGA-PBE calculation of a relaxed structure of AgAsRh, from the Alexandria database.

Calculated values
DOS(E_F), states/eV per atom: 1.31
VASP energy, eV per cell: -58.596
E above lowest polymorph, eV/f.u.: 0.77
Energy of formation from the pure elements, meV per atom: 68

The structure in CIF format:
```
data_AgAsRh
_chemical_formula_sum 'Ag4 As4 Rh4'
_space_group_name_H-M_alt 'F -4 3 m'
_space_group_IT_number 216
_space_group_name_Hall 'F -4 2 3'
_cell_length_a 5.990
_cell_length_b 5.990
_cell_length_c 5.990
_cell_angle_alpha 90.00
_cell_angle_beta 90.00
_cell_angle_gamma 90.00
loop_
_atom_site_label
_atom_site_type_symbol
_atom_site_fract_x
_atom_site_fract_y
_atom_site_fract_z
_atom_site_occupancy
Ag1 Ag 0.000 0.000 0.000 1
As1 As 0.250 0.250 0.250 1
Rh1 Rh 0.000 0.000 0.500 1
```

(5)
The following is a GGA-PBE calculation of a relaxed structure of Ba6In2AgO, from the Alexandria database.

Calculated values
DOS(E_F), states/eV per atom: 1.06
VASP energy, eV per cell: -61.235
Energy relative to the elements, uncorrected, eV per atom: -0.579

The structure in CIF format:
```
data_Ba6In2AgO
_chemical_formula_sum 'Ba12 In4 Ag2 O2'
_space_group_name_H-M_alt 'P m m n'
_space_group_IT_number 59
_cell_length_a 8.382
_cell_length_b 11.834
_cell_length_c 8.387
_cell_angle_alpha 90.00
_cell_angle_beta 90.00
_cell_angle_gamma 90.00
loop_
_space_group_symop_operation_xyz
'x,y,z'
'-x,-y,-z'
'-x+1/2,-y+1/2,z'
'x+1/2,y+1/2,-z'
'x+1/2,-y,-z'
'-x+1/2,y,z'
'-x,y+1/2,-z'
'x,-y+1/2,z'
loop_
_atom_site_label
_atom_site_type_symbol
_atom_site_fract_x
_atom_site_fract_y
_atom_site_fract_z
_atom_site_occupancy
Ba1 Ba 0.016 0.250 0.025 1
Ba2 Ba 0.020 0.250 0.488 1
Ba3 Ba 0.250 0.018 0.256 1
In1 In 0.250 0.501 0.746 1
Ag1 Ag 0.250 0.750 0.244 1
O1 O 0.250 0.250 0.253 1
```

(6)
The following is a GGA-PBE calculation of a relaxed structure of Tc3NiS, from the Alexandria database.

Calculated values
DOS(E_F), states/eV per atom: 1.24
VASP energy, eV per cell: -32.376
E above lowest polymorph, eV/f.u.: 5.24
Energy relative to the elements, uncorrected, eV per atom: 1.726

The structure in CIF format:
```
data_Tc3NiS
_chemical_formula_sum 'Tc3 Ni1 S1'
_space_group_name_H-M_alt 'P m -3 m'
_space_group_IT_number 221
_space_group_name_Hall '-P 4 2 3'
_cell_length_a 4.464
_cell_length_b 4.464
_cell_length_c 4.464
_cell_angle_alpha 90.00
_cell_angle_beta 90.00
_cell_angle_gamma 90.00
loop_
_atom_site_label
_atom_site_type_symbol
_atom_site_fract_x
_atom_site_fract_y
_atom_site_fract_z
_atom_site_occupancy
Tc1 Tc 0.000 0.000 0.500 1
Ni1 Ni 0.000 0.000 0.000 1
S1 S 0.500 0.500 0.500 1
```

(7)
The following is a GGA-PBE calculation of a relaxed structure of Sm4AuSe2Br, from the Alexandria database.

Calculated values
DOS(E_F), states/eV per atom: 0.38
VASP energy, eV per cell: -41.927
Energy relative to the elements, uncorrected, eV per atom: -1.391

The structure in CIF format:
```
data_Sm4AuSe2Br
_chemical_formula_sum 'Sm4 Au1 Se2 Br1'
_space_group_name_H-M_alt 'P 1 2/m 1'
_space_group_IT_number 10
_cell_length_a 7.379
_cell_length_b 4.078
_cell_length_c 7.443
_cell_angle_alpha 90.00
_cell_angle_beta 107.71
_cell_angle_gamma 90.00
loop_
_space_group_symop_operation_xyz
'x,y,z'
'-x,-y,-z'
'-x,y,-z'
'x,-y,z'
loop_
_atom_site_label
_atom_site_type_symbol
_atom_site_fract_x
_atom_site_fract_y
_atom_site_fract_z
_atom_site_occupancy
Sm1 Sm 0.231 0.000 0.232 1
Sm2 Sm 0.241 0.500 0.749 1
Au1 Au 0.000 0.000 0.500 1
Se1 Se 0.000 0.500 0.000 1
Se2 Se 0.500 0.000 0.000 1
Br1 Br 0.500 0.500 0.500 1
```

(8)
The following is a GGA-PBE calculation of a relaxed structure of LaCeAlAg, from the Alexandria database.

Calculated values
DOS(E_F), states/eV per atom: 2.68
VASP energy, eV per cell: -72.775
Energy of formation from the pure elements, meV per atom: -185

The structure in CIF format:
```
data_LaCeAlAg
_chemical_formula_sum 'La4 Ce4 Al4 Ag4'
_space_group_name_H-M_alt 'F -4 3 m'
_space_group_IT_number 216
_space_group_name_Hall 'F -4 2 3'
_cell_length_a 7.561
_cell_length_b 7.561
_cell_length_c 7.561
_cell_angle_alpha 90.00
_cell_angle_beta 90.00
_cell_angle_gamma 90.00
loop_
_atom_site_label
_atom_site_type_symbol
_atom_site_fract_x
_atom_site_fract_y
_atom_site_fract_z
_atom_site_occupancy
La1 La 0.000 0.000 0.000 1
Ce1 Ce 0.000 0.000 0.500 1
Al1 Al 0.250 0.250 0.250 1
Ag1 Ag 0.250 0.250 0.750 1
```